Entry 1:
{
  "formula": "ScAgP2Cl",
  "functional": "PBE",
  "state": "relaxed",
  "magnetic_moment_mub_per_atom": 0.183,
  "raw_formation_energy_ev_per_atom": 0.06,
  "crystal_system": "tetragonal",
  "lattice_angstrom": [[5.029, 0.000, 0.000], [0.000, 5.029, 0.000], [0.000, 0.000, 4.921]],
  "species": ["Sc", "Ag", "P", "P", "Cl"],
  "fractional_positions": [[0.000, 0.000, 0.000], [0.500, 0.500, 0.500], [0.000, 0.500, 0.000], [0.500, 0.000, 0.000], [0.000, 0.000, 0.500]]
}

---

Entry 2:
{
  "formula": "AcNi2GeH",
  "functional": "PBE",
  "state": "relaxed",
  "total_energy_ev_per_atom": -5.23,
  "magnetic_moment_mub_per_atom": 0.000,
  "crystal_system": "orthorhombic",
  "lattice_angstrom": [[2.029, -5.541, 0.000], [2.029, 5.541, 0.000], [0.000, 0.000, 6.842]],
  "species": ["Ac", "Ac", "Ni", "Ni", "Ni", "Ni", "Ge", "Ge", "H", "H"],
  "fractional_positions": [[0.067, 0.933, 0.750], [0.933, 0.067, 0.250], [0.331, 0.669, 0.559], [0.331, 0.669, 0.941], [0.669, 0.331, 0.059], [0.669, 0.331, 0.441], [0.216, 0.784, 0.250], [0.784, 0.216, 0.750], [0.500, 0.500, 0.000], [0.500, 0.500, 0.500]]
}

---

Entry 3:
{
  "formula": "LiFeH3",
  "functional": "PBE",
  "state": "relaxed",
  "total_energy_ev_per_atom": -4.05,
  "magnetic_moment_mub_per_atom": 0.000,
  "crystal_system": "triclinic",
  "lattice_angstrom": [[3.083, 0.000, 0.000], [-1.180, 4.890, 0.000], [-0.987, -2.423, 4.660]],
  "species": ["Li", "Li", "Fe", "Fe", "H", "H", "H", "H", "H", "H"],
  "fractional_positions": [[0.189, 0.196, 0.379], [0.811, 0.804, 0.621], [0.395, 0.689, 0.003], [0.605, 0.311, 0.997], [0.051, 0.279, 0.879], [0.262, 0.618, 0.682], [0.430, 0.062, 0.680], [0.570, 0.938, 0.320], [0.738, 0.382, 0.318], [0.949, 0.721, 0.121]]
}

---

Entry 4:
{
  "formula": "BeBiSbTe2",
  "functional": "PBE",
  "state": "relaxed",
  "magnetic_moment_mub_per_atom": 0.190,
  "raw_formation_energy_ev_per_atom": 1.23,
  "crystal_system": "tetragonal",
  "lattice_angstrom": [[5.965, 0.000, 0.000], [0.000, 5.965, 0.000], [0.000, 0.000, 5.864]],
  "species": ["Be", "Bi", "Sb", "Te", "Te"],
  "fractional_positions": [[0.000, 0.000, 0.000], [0.500, 0.500, 0.500], [0.500, 0.500, 0.000], [0.000, 0.500, 0.500], [0.500, 0.000, 0.500]]
}

---

Entry 5:
{
  "formula": "Pr6TlTe3Ir2",
  "functional": "PBE",
  "state": "relaxed",
  "magnetic_moment_mub_per_atom": 0.000,
  "raw_formation_energy_ev_per_atom": -0.95,
  "crystal_system": "monoclinic",
  "lattice_angstrom": [[9.928, -2.156, 0.000], [9.928, 2.156, 0.000], [-2.896, 0.000, 8.767]],
  "species": ["Pr", "Pr", "Pr", "Pr", "Pr", "Pr", "Tl", "Te", "Te", "Te", "Ir", "Ir"],
  "fractional_positions": [[0.012, 0.012, 0.261], [0.319, 0.319, 0.444], [0.329, 0.329, 0.889], [0.671, 0.671, 0.111], [0.681, 0.681, 0.556], [0.988, 0.988, 0.739], [0.500, 0.500, 0.000], [0.162, 0.162, 0.828], [0.500, 0.500, 0.500], [0.838, 0.838, 0.172], [0.166, 0.166, 0.325], [0.834, 0.834, 0.675]]
}

---

Entry 6:
{
  "formula": "RbCoSn3",
  "functional": "PBE",
  "state": "relaxed",
  "magnetic_moment_mub_per_atom": 0.355,
  "formation_enthalpy_0k_mev_per_atom": 1996,
  "crystal_system": "cubic",
  "lattice_angstrom": [[5.972, 0.000, 0.000], [0.000, 5.972, 0.000], [0.000, 0.000, 5.972]],
  "species": ["Rb", "Co", "Sn", "Sn", "Sn"],
  "fractional_positions": [[0.000, 0.000, 0.000], [0.500, 0.500, 0.500], [0.000, 0.000, 0.500], [0.000, 0.500, 0.000], [0.500, 0.000, 0.000]]
}

---

Entry 7:
{
  "formula": "Tl2Cd",
  "functional": "PBE",
  "state": "relaxed",
  "magnetic_moment_mub_per_atom": 0.000,
  "formation_enthalpy_0k_mev_per_atom": 35,
  "crystal_system": "monoclinic",
  "lattice_angstrom": [[13.286, 0.000, 0.000], [0.000, 3.475, 0.000], [-2.186, 0.000, 7.431]],
  "species": ["Tl", "Tl", "Tl", "Tl", "Tl", "Tl", "Tl", "Tl", "Cd", "Cd", "Cd", "Cd"],
  "fractional_positions": [[0.143, 0.000, 0.052], [0.174, 0.000, 0.610], [0.326, 0.500, 0.390], [0.357, 0.500, 0.948], [0.643, 0.500, 0.052], [0.674, 0.500, 0.610], [0.826, 0.000, 0.390], [0.857, 0.000, 0.948], [0.016, 0.500, 0.289], [0.484, 0.000, 0.711], [0.516, 0.000, 0.289], [0.984, 0.500, 0.711]]
}

---

Entry 8:
{
  "formula": "Ba8AgPd5",
  "functional": "PBE",
  "state": "relaxed",
  "magnetic_moment_mub_per_atom": 0.000,
  "formation_enthalpy_0k_mev_per_atom": -426,
  "crystal_system": "tetragonal",
  "lattice_angstrom": [[-5.014, 5.014, 4.967], [5.014, -5.014, 4.967], [5.014, 5.014, -4.967]],
  "species": ["Ba", "Ba", "Ba", "Ba", "Ba", "Ba", "Ba", "Ba", "Ag", "Pd", "Pd", "Pd", "Pd", "Pd"],
  "fractional_positions": [[0.244, 0.498, 0.612], [0.368, 0.756, 0.254], [0.375, 0.245, 0.252], [0.502, 0.114, 0.746], [0.755, 0.007, 0.130], [0.877, 0.625, 0.870], [0.886, 0.632, 0.388], [0.993, 0.123, 0.748], [0.500, 0.500, 0.000], [0.127, 0.005, 0.382], [0.255, 0.873, 0.878], [0.622, 0.745, 0.618], [0.750, 0.250, 0.500], [0.995, 0.378, 0.122]]
}

---

Entry 9:
{
  "formula": "Ag2RuRhBr",
  "functional": "PBE",
  "state": "relaxed",
  "magnetic_moment_mub_per_atom": 0.187,
  "raw_formation_energy_ev_per_atom": 1.12,
  "crystal_system": "tetragonal",
  "lattice_angstrom": [[5.203, 0.000, 0.000], [0.000, 5.203, 0.000], [0.000, 0.000, 4.548]],
  "species": ["Ag", "Ag", "Ru", "Rh", "Br"],
  "fractional_positions": [[0.000, 0.500, 0.000], [0.500, 0.000, 0.000], [0.000, 0.000, 0.000], [0.000, 0.000, 0.500], [0.500, 0.500, 0.500]]
}

---

Entry 10:
{
  "formula": "Hf2SiHgB",
  "functional": "PBE",
  "state": "relaxed",
  "magnetic_moment_mub_per_atom": 0.000,
  "raw_formation_energy_ev_per_atom": 0.11,
  "crystal_system": "tetragonal",
  "lattice_angstrom": [[4.619, 0.000, 0.000], [0.000, 4.619, 0.000], [0.000, 0.000, 4.273]],
  "species": ["Hf", "Hf", "Si", "Hg", "B"],
  "fractional_positions": [[0.000, 0.500, 0.000], [0.500, 0.000, 0.000], [0.000, 0.000, 0.500], [0.500, 0.500, 0.500], [0.500, 0.500, 0.000]]
}

---

Entry 11:
{
  "formula": "BP2SeCl",
  "functional": "PBE",
  "state": "relaxed",
  "magnetic_moment_mub_per_atom": 0.184,
  "raw_formation_energy_ev_per_atom": 1.73,
  "crystal_system": "tetragonal",
  "lattice_angstrom": [[4.840, 0.000, 0.000], [0.000, 4.840, 0.000], [0.000, 0.000, 5.109]],
  "species": ["B", "P", "P", "Se", "Cl"],
  "fractional_positions": [[0.000, 0.000, 0.000], [0.000, 0.500, 0.500], [0.500, 0.000, 0.500], [0.500, 0.500, 0.500], [0.500, 0.500, 0.000]]
}

---

Entry 12:
{
  "formula": "Tl2CuTcCl6",
  "functional": "PBE",
  "state": "relaxed",
  "magnetic_moment_mub_per_atom": 0.200,
  "raw_formation_energy_ev_per_atom": -0.70,
  "crystal_system": "trigonal",
  "lattice_angstrom": [[3.523, 2.034, 11.707], [-3.523, 2.034, 11.707], [0.000, -4.068, 11.707]],
  "species": ["Tl", "Tl", "Tl", "Tl", "Cu", "Cu", "Tc", "Tc", "Cl", "Cl", "Cl", "Cl", "Cl", "Cl", "Cl", "Cl", "Cl", "Cl", "Cl", "Cl"],
  "fractional_positions": [[0.124, 0.124, 0.124], [0.299, 0.299, 0.299], [0.701, 0.701, 0.701], [0.876, 0.876, 0.876], [0.417, 0.417, 0.417], [0.583, 0.583, 0.583], [0.000, 0.000, 0.000], [0.500, 0.500, 0.500], [0.138, 0.621, 0.621], [0.203, 0.203, 0.713], [0.203, 0.713, 0.203], [0.287, 0.797, 0.797], [0.379, 0.379, 0.862], [0.379, 0.862, 0.379], [0.621, 0.138, 0.621], [0.621, 0.621, 0.138], [0.713, 0.203, 0.203], [0.797, 0.287, 0.797], [0.797, 0.797, 0.287], [0.862, 0.379, 0.379]]
}

---

Entry 13:
{
  "formula": "MgHIr4",
  "functional": "PBE",
  "state": "relaxed",
  "total_energy_ev_per_atom": -6.74,
  "magnetic_moment_mub_per_atom": 0.000,
  "crystal_system": "triclinic",
  "lattice_angstrom": [[2.770, 0.000, 0.000], [-1.382, 4.599, 0.000], [-0.001, -2.282, 6.311]],
  "species": ["Mg", "H", "Ir", "Ir", "Ir", "Ir"],
  "fractional_positions": [[0.000, 0.000, 0.000], [0.172, 0.349, 0.322], [0.041, 0.085, 0.459], [0.312, 0.626, 0.173], [0.351, 0.704, 0.609], [0.686, 0.374, 0.815]]
}

---

Entry 14:
{
  "formula": "ZrAlRe",
  "functional": "PBE",
  "state": "relaxed",
  "magnetic_moment_mub_per_atom": 0.000,
  "formation_enthalpy_0k_mev_per_atom": -129,
  "crystal_system": "orthorhombic",
  "lattice_angstrom": [[2.803, 0.000, 0.000], [0.000, 4.062, 0.000], [0.000, 0.000, 9.191]],
  "species": ["Zr", "Zr", "Al", "Al", "Re", "Re"],
  "fractional_positions": [[0.000, 0.000, 0.000], [0.500, 0.500, 0.500], [0.000, 0.000, 0.689], [0.500, 0.500, 0.189], [0.000, 0.000, 0.319], [0.500, 0.500, 0.819]]
}

---

Entry 15:
{
  "formula": "ErThB4",
  "functional": "PBE",
  "state": "relaxed",
  "magnetic_moment_mub_per_atom": 0.000,
  "formation_enthalpy_0k_mev_per_atom": -362,
  "crystal_system": "orthorhombic",
  "lattice_angstrom": [[6.275, 0.000, 0.000], [0.000, 12.265, 0.000], [0.000, 0.000, 4.033]],
  "species": ["Er", "Er", "Er", "Er", "Th", "Th", "Th", "Th", "B", "B", "B", "B", "B", "B", "B", "B", "B", "B", "B", "B", "B", "B", "B", "B"],
  "fractional_positions": [[0.140, 0.087, 0.000], [0.360, 0.587, 0.000], [0.640, 0.413, 0.000], [0.860, 0.913, 0.000], [0.130, 0.346, 0.000], [0.370, 0.846, 0.000], [0.630, 0.154, 0.000], [0.870, 0.654, 0.000], [0.032, 0.807, 0.500], [0.118, 0.952, 0.500], [0.129, 0.527, 0.500], [0.206, 0.690, 0.500], [0.294, 0.190, 0.500], [0.371, 0.027, 0.500], [0.382, 0.452, 0.500], [0.468, 0.307, 0.500], [0.532, 0.693, 0.500], [0.618, 0.548, 0.500], [0.629, 0.973, 0.500], [0.706, 0.810, 0.500], [0.794, 0.310, 0.500], [0.871, 0.473, 0.500], [0.882, 0.048, 0.500], [0.968, 0.193, 0.500]]
}

---

Entry 16:
{
  "formula": "CoReB3",
  "functional": "PBE",
  "state": "relaxed",
  "magnetic_moment_mub_per_atom": 0.000,
  "formation_enthalpy_0k_mev_per_atom": 1187,
  "crystal_system": "cubic",
  "lattice_angstrom": [[3.668, 0.000, 0.000], [0.000, 3.668, 0.000], [0.000, 0.000, 3.668]],
  "species": ["Co", "Re", "B", "B", "B"],
  "fractional_positions": [[0.000, 0.000, 0.000], [0.500, 0.500, 0.500], [0.000, 0.000, 0.500], [0.000, 0.500, 0.000], [0.500, 0.000, 0.000]]
}

---

Entry 17:
{
  "formula": "Tb2PmTh3Se6",
  "functional": "PBE",
  "state": "relaxed",
  "magnetic_moment_mub_per_atom": 0.000,
  "raw_formation_energy_ev_per_atom": -1.65,
  "crystal_system": "monoclinic",
  "lattice_angstrom": [[3.547, -6.071, 0.000], [3.547, 6.071, 0.000], [-2.309, 0.000, 7.121]],
  "species": ["Tb", "Tb", "Pm", "Th", "Th", "Th", "Se", "Se", "Se", "Se", "Se", "Se"],
  "fractional_positions": [[0.168, 0.832, 0.000], [0.832, 0.168, 0.000], [0.500, 0.500, 0.000], [0.000, 0.000, 0.500], [0.337, 0.663, 0.500], [0.663, 0.337, 0.500], [0.081, 0.420, 0.760], [0.239, 0.239, 0.235], [0.420, 0.081, 0.760], [0.580, 0.919, 0.240], [0.761, 0.761, 0.765], [0.919, 0.580, 0.240]]
}

---

Entry 18:
{
  "formula": "KZn2CrCu",
  "functional": "PBE",
  "state": "relaxed",
  "magnetic_moment_mub_per_atom": 1.020,
  "formation_enthalpy_0k_mev_per_atom": 765,
  "crystal_system": "tetragonal",
  "lattice_angstrom": [[4.775, 0.000, 0.000], [0.000, 4.775, 0.000], [0.000, 0.000, 5.599]],
  "species": ["K", "Zn", "Zn", "Cr", "Cu"],
  "fractional_positions": [[0.000, 0.000, 0.000], [0.000, 0.500, 0.500], [0.500, 0.000, 0.500], [0.500, 0.500, 0.000], [0.000, 0.000, 0.500]]
}

---

Entry 19:
{
  "formula": "RbZn2CuC",
  "functional": "PBE",
  "state": "relaxed",
  "magnetic_moment_mub_per_atom": 0.400,
  "formation_enthalpy_0k_mev_per_atom": 2139,
  "crystal_system": "tetragonal",
  "lattice_angstrom": [[6.892, 0.000, 0.000], [0.000, 6.892, 0.000], [0.000, 0.000, 5.549]],
  "species": ["Rb", "Zn", "Zn", "Cu", "C"],
  "fractional_positions": [[0.000, 0.000, 0.000], [0.000, 0.500, 0.000], [0.500, 0.000, 0.000], [0.500, 0.500, 0.500], [0.000, 0.000, 0.500]]
}

---

Entry 20:
{
  "formula": "Na2SbPtO4",
  "functional": "PBE",
  "state": "relaxed",
  "magnetic_moment_mub_per_atom": 0.000,
  "raw_formation_energy_ev_per_atom": -1.09,
  "crystal_system": "tetragonal",
  "lattice_angstrom": [[5.973, 0.000, 0.000], [0.000, 5.973, 0.000], [0.000, 0.000, 6.398]],
  "species": ["Na", "Na", "Na", "Na", "Sb", "Sb", "Pt", "Pt", "O", "O", "O", "O", "O", "O", "O", "O"],
  "fractional_positions": [[0.000, 0.000, 0.000], [0.000, 0.500, 0.250], [0.500, 0.000, 0.750], [0.500, 0.500, 0.500], [0.000, 0.500, 0.750], [0.500, 0.000, 0.250], [0.000, 0.000, 0.500], [0.500, 0.500, 0.000], [0.164, 0.701, 0.528], [0.201, 0.336, 0.972], [0.299, 0.164, 0.472], [0.336, 0.799, 0.028], [0.664, 0.201, 0.028], [0.701, 0.836, 0.472], [0.799, 0.664, 0.972], [0.836, 0.299, 0.528]]
}

---

Entry 21:
{
  "formula": "KTeRu",
  "functional": "PBE",
  "state": "relaxed",
  "magnetic_moment_mub_per_atom": 0.000,
  "raw_formation_energy_ev_per_atom": 0.07,
  "crystal_system": "trigonal",
  "lattice_angstrom": [[4.396, 0.000, 0.000], [-2.198, 3.807, 0.000], [0.000, 0.000, 5.469]],
  "species": ["K", "Te", "Ru"],
  "fractional_positions": [[0.000, 0.000, 0.000], [0.333, 0.667, 0.501], [0.667, 0.333, 0.497]]
}

---

Entry 22:
{
  "formula": "NdTh",
  "functional": "PBE",
  "state": "relaxed",
  "magnetic_moment_mub_per_atom": 0.000,
  "formation_enthalpy_0k_mev_per_atom": 74,
  "crystal_system": "orthorhombic",
  "lattice_angstrom": [[3.590, 0.000, 0.000], [0.000, 5.964, 0.000], [0.000, 0.000, 6.337]],
  "species": ["Nd", "Nd", "Th", "Th"],
  "fractional_positions": [[0.250, 0.250, 0.098], [0.750, 0.750, 0.902], [0.250, 0.750, 0.419], [0.750, 0.250, 0.581]]
}

---

Entry 23:
{
  "formula": "Mg3CdW",
  "functional": "PBE",
  "state": "relaxed",
  "magnetic_moment_mub_per_atom": 0.598,
  "formation_enthalpy_0k_mev_per_atom": 1220,
  "crystal_system": "cubic",
  "lattice_angstrom": [[5.319, 0.000, 0.000], [0.000, 5.319, 0.000], [0.000, 0.000, 5.319]],
  "species": ["Mg", "Mg", "Mg", "Cd", "W"],
  "fractional_positions": [[0.000, 0.000, 0.500], [0.000, 0.500, 0.000], [0.500, 0.000, 0.000], [0.500, 0.500, 0.500], [0.000, 0.000, 0.000]]
}

---

Entry 24:
{
  "formula": "Dy3InS",
  "functional": "PBE",
  "state": "relaxed",
  "magnetic_moment_mub_per_atom": 0.000,
  "raw_formation_energy_ev_per_atom": -0.88,
  "crystal_system": "cubic",
  "lattice_angstrom": [[5.159, 0.000, 0.000], [0.000, 5.159, 0.000], [0.000, 0.000, 5.159]],
  "species": ["Dy", "Dy", "Dy", "In", "S"],
  "fractional_positions": [[0.000, 0.000, 0.500], [0.000, 0.500, 0.000], [0.500, 0.000, 0.000], [0.500, 0.500, 0.500], [0.000, 0.000, 0.000]]
}

---

Entry 25:
{
  "formula": "BaZrAl2",
  "functional": "PBE",
  "state": "relaxed",
  "magnetic_moment_mub_per_atom": 0.000,
  "formation_enthalpy_0k_mev_per_atom": 166,
  "crystal_system": "cubic",
  "lattice_angstrom": [[7.407, 0.000, 0.000], [0.000, 7.407, 0.000], [0.000, 0.000, 7.407]],
  "species": ["Ba", "Ba", "Ba", "Ba", "Zr", "Zr", "Zr", "Zr", "Al", "Al", "Al", "Al", "Al", "Al", "Al", "Al"],
  "fractional_positions": [[0.000, 0.000, 0.000], [0.000, 0.500, 0.500], [0.500, 0.000, 0.500], [0.500, 0.500, 0.000], [0.000, 0.000, 0.500], [0.000, 0.500, 0.000], [0.500, 0.000, 0.000], [0.500, 0.500, 0.500], [0.250, 0.250, 0.250], [0.250, 0.250, 0.750], [0.250, 0.750, 0.250], [0.250, 0.750, 0.750], [0.750, 0.250, 0.250], [0.750, 0.250, 0.750], [0.750, 0.750, 0.250], [0.750, 0.750, 0.750]]
}